(1)
PBE HoTm3Hg, relaxed; calculated volume = 29.10 Å³ per atom; density of states at the Fermi level = 1.1576 states/eV/atom; formation energy from the elements = -0.119 eV per atom; size of the total moment = 0.000 μB per atom; DFT total energy = -37.8 eV for the cell shown; crystal system = monoclinic
1.0
5.5001 -3.6091 0.0000
5.5001 3.6091 0.0000
-2.7274 0.0000 7.3309
Ho Tm Hg
2 6 2
direct
0.0607 0.0607 0.2392 Ho
0.9393 0.9393 0.7608 Ho
0.0911 0.5907 0.3615 Tm
0.4093 0.9089 0.6385 Tm
0.4387 0.4387 0.7589 Tm
0.5613 0.5613 0.2411 Tm
0.5907 0.0911 0.3615 Tm
0.9089 0.4093 0.6385 Tm
0.2528 0.2528 0.9998 Hg
0.7472 0.7472 0.0002 Hg

---

(2)
PBE Ho3Tm2Hg6, relaxed; calculated volume = 30.53 Å³ per atom; density of states at the Fermi level = 0.5868 states/eV/atom; formation energy from the elements = -0.097 eV per atom; size of the total moment = 0.000 μB per atom; DFT total energy = -25.5 eV for the cell shown; crystal system = tetragonal
1.0
-2.5324 2.5324 13.0924
2.5324 -2.5324 13.0924
2.5324 2.5324 -13.0924
Ho Tm Hg
3 2 6
direct
0.0000 0.0000 0.0000 Ho
0.1399 0.1399 0.0000 Ho
0.8601 0.8601 0.0000 Ho
0.3728 0.3728 0.0000 Tm
0.6272 0.6272 0.0000 Tm
0.0664 0.5664 0.5000 Hg
0.2574 0.2574 0.0000 Hg
0.4336 0.9336 0.5000 Hg
0.5664 0.0664 0.5000 Hg
0.7426 0.7426 0.0000 Hg
0.9336 0.4336 0.5000 Hg

---

(3)
PBE HoTmHg4, relaxed; E above lowest polymorph = 0 meV per atom; calculated volume = 24.31 Å³ per atom; density of states at the Fermi level = 0.5290 states/eV/atom; formation energy from the elements = -0.376 eV per atom; size of the total moment = 0.000 μB per atom; DFT total energy = -12.5 eV for the cell shown; crystal system = orthorhombic
1.0
5.1721 0.0000 0.0000
0.0000 1.9432 7.2576
0.0000 -1.9432 7.2576
Ho Tm Hg
1 1 4
direct
0.0000 0.0000 0.0000 Ho
0.5000 0.7927 0.7927 Tm
0.0000 0.3315 0.3315 Hg
0.0000 0.6665 0.6665 Hg
0.5000 0.1273 0.1273 Hg
0.5000 0.4601 0.4601 Hg